CoAsRh2F | GGA+U | optimized geometry

Computed properties:
Total moment ... 3.0 μB per cell
Calculated total energy ... -0.1876 hartree per atom
Fermi-level density of states ... 3.6 states/eV per cell

```
data_CoAsRh2F
_cell_length_a 4.605
_cell_length_b 4.605
_cell_length_c 4.028
_cell_angle_alpha 90.00
_cell_angle_beta 90.00
_cell_angle_gamma 90.00
_space_group_name_H-M_alt 'P 4/m m m'
_space_group_IT_number 123
_space_group_name_Hall '-P 4 2'
loop_
_atom_site_label
_atom_site_type_symbol
_atom_site_fract_x
_atom_site_fract_y
_atom_site_fract_z
Co1 Co 0.000 0.000 0.000
As1 As 0.500 0.500 0.500
Rh1 Rh 0.000 0.500 0.500
F1 F 0.500 0.500 0.000
```